Record 1
This record from Alexandria via LeMat-Bulk describes a geometry-optimized MnCo2Re structure. The functional is PBEsol.

Its formation enthalpy at 0 K is -8 meV/atom. As for the crystal system: tetragonal. As for the distance to the lowest polymorph of the same formula: 0.0 meV per atom. The density of states at the Fermi level comes out at 3.50 states/eV/f.u. As for the density: 13.3 g/cm3.

It has space group P4/mmm (No. 123), with a = 3.5224 Å, b = 3.5224 Å, c = 3.6074 Å, α = 90.00°, β = 90.00° and γ = 90.00°. The inequivalent atoms are Mn at (0.0000, 0.0000, 0.0000), Co at (0.0000, 0.5000, 0.5000) and Re at (0.5000, 0.5000, 0.0000).



Record 2
This record from Alexandria via LeMat-Bulk describes a geometry-optimized Cs3NiS structure. The functional is PBEsol.

As for the crystal system: cubic. The density of states at the Fermi level comes out at 1.22 states/eV/f.u. As for the density: 4.7 g/cm3. As for the formation energy from raw total energies: 0.08 eV per atom.

It has space group Pm-3m (No. 221), with a = 5.5651 Å, b = 5.5651 Å, c = 5.5651 Å, α = 90.00°, β = 90.00° and γ = 90.00°. The inequivalent atoms are Cs at (0.0000, 0.0000, 0.5000), Ni at (0.0000, 0.0000, 0.0000) and S at (0.5000, 0.5000, 0.5000).



Record 3
This record from Alexandria via LeMat-Bulk describes a geometry-optimized LiCoCuO4 structure. The functional is PBEsol.

As for the crystal system: monoclinic. As for the distance to the lowest polymorph of the same formula: 0.0 meV per atom. The density of states at the Fermi level comes out at 1.92 states/eV/f.u. As for the density: 4.4 g/cm3. As for the formation energy from raw total energies: -1.04 eV per atom.

It has space group P2/m (No. 10), with a = 5.0170 Å, b = 2.7430 Å, c = 5.4249 Å, α = 90.00°, β = 101.11° and γ = 90.00°. The inequivalent atoms are Li at (0.0000, 0.0000, 0.0000), Co at (0.5000, 0.0000, 0.0000), Cu at (0.5000, 0.5000, 0.5000), O at (0.2646, 0.5000, 0.8843) and O at (0.3520, 0.0000, 0.2905).



no.,total DFT energy (no corrections) (eV per atom),magnetic moment (μB/cell)
1,-9.650,0.94
2,-2.595,0.00
3,-6.049,0.99